#A
Crystalline BeWSCl2 at its relaxed geometry, computed with PBE-GGA.

It has space group P4/mmm (No. 123), with a = 4.020 Å, b = 4.020 Å, c = 6.571 Å, α = 90.00°, β = 90.00° and γ = 90.00°. Symmetry generates all atoms from Be at (0.000, 0.000, 0.000), W at (0.500, 0.500, 0.500), S at (0.000, 0.000, 0.500) and Cl at (0.000, 0.500, 0.000).

For the density of states at the Fermi level, the calculation gives 2.837 states/eV per cell.



#B
Crystalline BeWSCl2 at its relaxed geometry, computed with PBE-GGA.

It has space group P4/mmm (No. 123), with a = 4.846 Å, b = 4.846 Å, c = 4.638 Å, α = 90.00°, β = 90.00° and γ = 90.00°. Symmetry generates all atoms from Be at (0.000, 0.000, 0.000), W at (0.500, 0.500, 0.500), S at (0.500, 0.500, 0.000) and Cl at (0.000, 0.500, 0.500).

For the density of states at the Fermi level, the calculation gives 4.004 states/eV per cell.



According to the calculations, the structures order from most to least stable as #B, #A.



#A
Crystalline YBeS2Cl at its relaxed geometry, computed with PBE-GGA.

It has space group P4/mmm (No. 123), with a = 4.596 Å, b = 4.596 Å, c = 4.222 Å, α = 90.00°, β = 90.00° and γ = 90.00°. Symmetry generates all atoms from Y at (0.000, 0.000, 0.000), Be at (0.500, 0.500, 0.500), S at (0.000, 0.500, 0.500) and Cl at (0.500, 0.500, 0.000).

For the density of states at the Fermi level, the calculation gives 0.067 states/eV per cell.



#B
Crystalline YBeS2Cl at its relaxed geometry, computed with PBE-GGA.

It has space group P4/mmm (No. 123), with a = 5.289 Å, b = 5.289 Å, c = 5.125 Å, α = 90.00°, β = 90.00° and γ = 90.00°. Symmetry generates all atoms from Y at (0.000, 0.000, 0.000), Be at (0.500, 0.500, 0.500), S at (0.000, 0.500, 0.000) and Cl at (0.000, 0.000, 0.500).

For the density of states at the Fermi level, the calculation gives 2.486 states/eV per cell.



According to the calculations, the structures order from most to least stable as #A, #B.